Tl3CdPb2 | PBE-GGA | relaxed

Unit cell a=6.4041 b=18.1446 c=3.2662 alpha=90.00 beta=90.00 gamma=90.00
Last column: nearest neighbours and their distance in Å.
Space group Cmmm (No. 65)
Asymmetric unit:
Tl (0.0000, 0.0000, 0.0000) x2  2 Cd 3.20, 2 Tl 3.27, 4 Pb 3.50
Tl (0.0000, 0.3504, 0.5000) x4  2 Cd 3.17, 3 Pb 3.22-3.26, 2 Tl 3.27
Cd (0.0000, 0.5000, 0.0000) x2  6 Tl 3.17-3.20, 2 Cd 3.27
Pb (0.0000, 0.1705, 0.5000) x4  5 Tl 3.22-3.50, 2 Pb 3.27

## Properties
Mass density ... 10.0 g cm⁻³
Size of the total moment ... 0.00 Bohr magnetons per cell
Formation energy from the elements ... 0.120 eV/atom
Crystal system ... orthorhombic